5
Lattice="6.7924 0.0000 0.0000 0.0000 6.7924 0.0000 0.0000 0.0000 6.6739" Properties=species:S:1:pos:R:3 comment="KBa2SrLi, optimized geometry, DFT PBE-GGA" de_polymorph_mev_per_atom=0 ef_ev_per_atom=0.16 crystal_system=tetragonal pbc="T T T"
K 0.0000 0.0000 0.0000
Ba 0.0000 3.3962 3.3370
Ba 3.3962 0.0000 3.3370
Sr 3.3962 3.3962 0.0000
Li 3.3962 3.3962 3.3370

3
Lattice="0.0000 3.8817 3.8817 3.8817 0.0000 3.8817 3.8817 3.8817 0.0000" Properties=species:S:1:pos:R:3 comment="BaLiAl, optimized geometry, DFT PBE-GGA" de_polymorph_mev_per_atom=622 ef_ev_per_atom=0.54 crystal_system=cubic pbc="T T T"
Ba 0.0000 0.0000 0.0000
Li 5.8226 5.8226 5.8226
Al 1.9409 1.9409 1.9409

16
Lattice="8.2511 0.0000 0.0000 0.0000 13.2711 0.0000 0.0000 0.0000 4.5380" Properties=species:S:1:pos:R:3 comment="PuPa2Bi5, optimized geometry, DFT PBE-GGA" ef_ev_per_atom=-0.13 crystal_system=orthorhombic pbc="T T T"
Pu 0.0000 0.0000 0.0000
Pu 4.1255 6.6355 0.0000
Pa 0.8344 4.2365 2.2690
Pa 3.2911 10.8720 2.2690
Pa 4.9600 2.3990 2.2690
Pa 7.4167 9.0345 2.2690
Bi 0.0000 6.6355 0.0000
Bi 1.0699 10.3509 0.0000
Bi 1.9671 0.9972 2.2690
Bi 2.1585 7.6328 2.2690
Bi 3.0557 3.7154 0.0000
Bi 4.1255 0.0000 0.0000
Bi 5.1954 9.5556 0.0000
Bi 6.0926 5.6383 2.2690
Bi 6.2840 12.2738 2.2690
Bi 7.1812 2.9201 0.0000

12
Lattice="3.7929 0.0000 0.0000 0.0000 3.7929 0.0000 0.0000 0.0000 11.8257" Properties=species:S:1:pos:R:3 comment="Sr2CaCu3O6, optimized geometry, DFT PBE-GGA" crystal_system=tetragonal raw_formation_energy_ev_per_atom=-1.70 pbc="T T T"
Sr 0.0000 0.0000 2.4288
Sr 0.0000 0.0000 9.3969
Ca 0.0000 0.0000 5.9129
Cu 1.8964 1.8964 0.0000
Cu 1.8964 1.8964 4.2142
Cu 1.8964 1.8964 7.6116
O 0.0000 1.8964 4.3239
O 0.0000 1.8964 7.5018
O 1.8964 0.0000 4.3239
O 1.8964 0.0000 7.5018
O 1.8964 1.8964 1.7911
O 1.8964 1.8964 10.0346

5
Lattice="4.6283 0.0000 0.0000 0.0000 4.6283 0.0000 0.0000 0.0000 4.6283" Properties=species:S:1:pos:R:3 comment="TiCu3Ag, optimized geometry, DFT PBE-GGA" de_polymorph_mev_per_atom=0 ef_ev_per_atom=1.10 crystal_system=cubic pbc="T T T"
Ti 0.0000 0.0000 0.0000
Cu 0.0000 2.3142 2.3142
Cu 2.3142 0.0000 2.3142
Cu 2.3142 2.3142 0.0000
Ag 2.3142 2.3142 2.3142

10
Lattice="2.6397 -7.7440 0.0000 2.6397 7.7440 0.0000 0.0000 0.0000 6.3044" Properties=species:S:1:pos:R:3 comment="Tb2PrZn2, optimized geometry, DFT PBE-GGA" de_polymorph_mev_per_atom=57 ef_ev_per_atom=-0.19 crystal_system=orthorhombic pbc="T T T"
Tb 2.6397 7.1157 3.1522
Tb 2.6397 4.6068 0.7666
Tb 2.6397 -4.6068 3.9188
Tb 2.6397 -7.1157 0.0000
Pr 2.6397 1.3168 2.2553
Pr 2.6397 -1.3168 5.4075
Zn 2.6397 4.3712 3.9705
Zn 2.6397 1.9906 5.3724
Zn 2.6397 -1.9906 2.2202
Zn 2.6397 -4.3712 0.8183

12
Lattice="3.9499 -6.8298 0.0000 3.9499 6.8298 0.0000 -2.6364 0.0000 8.1750" Properties=species:S:1:pos:R:3 comment="AcEr2Tl3Te6, optimized geometry, DFT PBE-GGA" crystal_system=monoclinic raw_formation_energy_ev_per_atom=-1.07 pbc="T T T"
Ac 0.0000 0.0000 0.0000
Er 3.9499 2.2874 0.0000
Er 3.9499 -2.2874 0.0000
Tl 2.6318 4.6362 4.0875
Tl 2.6318 0.0000 4.0875
Tl 2.6318 -4.6362 4.0875
Te 1.4016 2.4189 1.7827
Te 0.1638 0.0000 6.4358
Te 1.4016 -2.4189 1.7827
Te 3.8619 2.4189 6.3924
Te 5.0997 0.0000 1.7393
Te 3.8619 -2.4189 6.3924

3
Lattice="-1.6798 1.6798 4.5293 1.6798 -1.6798 4.5293 1.6798 1.6798 -4.5293" Properties=species:S:1:pos:R:3 comment="InPd2, optimized geometry, DFT PBE-GGA" ef_ev_per_atom=-0.44 crystal_system=tetragonal pbc="T T T"
In 0.0000 0.0000 0.0000
Pd 0.0000 0.0000 3.0569
Pd 0.0000 0.0000 6.0016

6
Lattice="0.0000 3.8086 3.8086 3.8086 0.0000 3.8086 3.8086 3.8086 0.0000" Properties=species:S:1:pos:R:3 comment="CaThRh4, optimized geometry, DFT PBE-GGA" ef_ev_per_atom=-0.64 crystal_system=cubic pbc="T T T"
Ca 0.0000 0.0000 0.0000
Th 5.7130 5.7130 5.7130
Rh 2.8539 2.8539 2.8539
Rh 4.7634 4.7634 2.8539
Rh 4.7634 2.8539 4.7634
Rh 2.8539 4.7634 4.7634

5
Lattice="6.0734 0.0000 0.0000 0.0000 6.0734 0.0000 0.0000 0.0000 6.0734" Properties=species:S:1:pos:R:3 comment="CaCrI3, optimized geometry, DFT PBE-GGA" de_polymorph_mev_per_atom=100 crystal_system=cubic raw_formation_energy_ev_per_atom=-0.37 pbc="T T T"
Ca 0.0000 0.0000 0.0000
Cr 3.0367 3.0367 3.0367
I 0.0000 0.0000 3.0367
I 0.0000 3.0367 0.0000
I 3.0367 0.0000 0.0000

10
Lattice="3.8965 0.0000 0.0000 0.0000 3.8965 0.0000 0.0000 0.0000 15.2940" Properties=species:S:1:pos:R:3 comment="LaPu4Au5, optimized geometry, DFT PBE-GGA" ef_ev_per_atom=0.18 crystal_system=tetragonal pbc="T T T"
La 0.0000 0.0000 0.0000
Pu 0.0000 0.0000 3.5940
Pu 0.0000 0.0000 5.8292
Pu 0.0000 0.0000 9.4649
Pu 0.0000 0.0000 11.7000
Au 1.9482 1.9482 1.8332
Au 1.9482 1.9482 4.7612
Au 1.9482 1.9482 7.6470
Au 1.9482 1.9482 10.5328
Au 1.9482 1.9482 13.4608

6
Lattice="1.8557 -7.9746 0.0000 1.8557 7.9746 0.0000 0.0000 0.0000 3.6712" Properties=species:S:1:pos:R:3 comment="ZrTiSi, optimized geometry, DFT PBE-GGA" crystal_system=orthorhombic raw_formation_energy_ev_per_atom=-0.47 pbc="T T T"
Zr 1.8557 6.4375 2.7534
Zr 1.8557 -6.4375 0.9178
Ti 1.8557 3.4188 2.7534
Ti 1.8557 -3.4188 0.9178
Si 1.8557 0.7646 2.7534
Si 1.8557 -0.7646 0.9178

10
Lattice="4.3375 0.0000 0.0000 0.0000 4.3375 0.0000 0.0000 0.0000 10.3816" Properties=species:S:1:pos:R:3 comment="La2Ni4Sb3Ir, optimized geometry, DFT PBE-GGA" crystal_system=tetragonal raw_formation_energy_ev_per_atom=-0.58 pbc="T T T"
La 0.0000 2.1688 2.5525
La 2.1688 0.0000 7.8291
Ni 0.0000 0.0000 5.1908
Ni 0.0000 2.1688 9.0375
Ni 2.1688 0.0000 1.3441
Ni 2.1688 2.1688 5.1908
Sb 0.0000 0.0000 0.0000
Sb 0.0000 2.1688 6.5135
Sb 2.1688 0.0000 3.8681
Ir 2.1688 2.1688 0.0000

5
Lattice="5.6295 0.0000 0.0000 0.0000 5.6295 0.0000 0.0000 0.0000 3.5989" Properties=species:S:1:pos:R:3 comment="Tl2TeHPt, optimized geometry, DFT PBE-GGA" energy_ev_per_atom=-3.500 crystal_system=tetragonal pbc="T T T"
Tl 0.0000 2.8148 0.0000
Tl 2.8148 0.0000 0.0000
Te 0.0000 0.0000 1.7995
H 2.8148 2.8148 1.7995
Pt 2.8148 2.8148 0.0000

11
Lattice="-1.8204 3.8751 6.7106 1.8204 -3.8751 6.7106 1.8204 3.8751 -6.7106" Properties=species:S:1:pos:R:3 comment="Sm4Cl3O4, optimized geometry, DFT PBE-GGA" crystal_system=orthorhombic raw_formation_energy_ev_per_atom=-2.67 pbc="T T T"
Sm 0.0000 0.0000 2.8940
Sm 1.8204 2.0773 0.0000
Sm 0.0000 1.7979 6.7106
Sm 0.0000 0.0000 10.5272
Cl 0.0000 0.0000 0.0000
Cl 1.8204 0.0000 5.2472
Cl 0.0000 3.8751 1.4634
O 1.8204 1.3970 -2.1632
O 1.8204 1.3970 2.1632
O 0.0000 2.4781 4.5474
O 0.0000 2.4781 8.8738

12
Lattice="2.6630 1.5375 8.7562 -2.6630 1.5375 8.7562 0.0000 -3.0750 8.7562" Properties=species:S:1:pos:R:3 comment="PmHo2Ir9, optimized geometry, DFT PBE-GGA" ef_ev_per_atom=-0.58 crystal_system=trigonal pbc="T T T"
Pm 0.0000 0.0000 0.0000
Ho 0.0000 0.0000 3.6646
Ho 0.0000 0.0000 22.6041
Ir -1.3305 -0.7681 10.9246
Ir 0.0000 0.0000 8.7458
Ir 0.0000 -1.5363 15.3440
Ir -1.3305 0.7681 15.3440
Ir 0.0000 0.0000 13.1343
Ir 1.3305 -0.7681 10.9246
Ir 0.0000 1.5363 10.9246
Ir 0.0000 0.0000 17.5228
Ir 1.3305 0.7681 15.3440

7
Lattice="-2.6424 2.6424 8.2721 2.6424 -2.6424 8.2721 2.6424 2.6424 -8.2721" Properties=species:S:1:pos:R:3 comment="Ac2PrRh2Br2, optimized geometry, DFT PBE-GGA" crystal_system=tetragonal raw_formation_energy_ev_per_atom=-0.92 pbc="T T T"
Ac 0.0000 0.0000 1.8739
Ac 0.0000 0.0000 14.6703
Pr 0.0000 0.0000 8.2721
Rh 2.6424 0.0000 0.0000
Rh 0.0000 2.6424 0.0000
Br 0.0000 0.0000 5.0518
Br 0.0000 0.0000 11.4924

4
Lattice="0.0000 3.6306 3.6306 3.6306 0.0000 3.6306 3.6306 3.6306 0.0000" Properties=species:S:1:pos:R:3 comment="LuPaSnPd, optimized geometry, DFT PBE-GGA" ef_ev_per_atom=-0.34 crystal_system=cubic pbc="T T T"
Lu 0.0000 0.0000 0.0000
Pa 3.6306 3.6306 3.6306
Sn 1.8153 1.8153 1.8153
Pd 5.4459 5.4459 5.4459